(1)
{
  "formula": "La5SmMg2",
  "functional": "PBE",
  "state": "relaxed",
  "lattice_angstrom": [[-4.986, -0.133, -4.978], [3.382, -6.126, 0.832], [-3.184, 1.476, 6.110]],
  "species": ["La", "La", "La", "La", "La", "Mg", "Mg", "Sm"],
  "frac_coords": [[0.278, 0.278, 0.500], [0.278, 0.778, 0.000], [0.277, 0.276, 0.000], [0.778, 0.778, 0.500], [0.778, 0.278, 0.000], [0.278, 0.778, 0.500], [0.778, 0.278, 0.500], [0.779, 0.778, 0.000]],
  "crystal_system": "tetragonal",
  "formation_energy_ev_per_atom": 0.00,
  "energy_ev_per_atom": -4.07,
  "m_tot_mub_per_fu": 0.0
}

---

(2)
{
  "formula": "La2SmMg",
  "functional": "PBE",
  "state": "relaxed",
  "lattice_angstrom": [[3.552, 0.000, 0.000], [1.776, 3.076, 0.000], [1.776, 1.025, 12.812]],
  "species": ["Mg", "La", "La", "Sm"],
  "frac_coords": [[0.000, 0.000, 0.000], [0.911, 0.911, 0.267], [0.089, 0.089, 0.733], [0.500, 0.500, 0.500]],
  "crystal_system": "trigonal",
  "formation_energy_ev_per_atom": 0.19,
  "energy_ev_per_atom": -3.85,
  "m_tot_mub_per_fu": 0.0,
  "e_above_lowest_polymorph_ev_per_atom": 0.233
}

---

(3)
{
  "formula": "La4SmMg2",
  "functional": "PBE",
  "state": "relaxed",
  "lattice_angstrom": [[-0.754, -4.399, 3.512], [4.237, -3.673, 0.901], [3.854, 1.998, 7.922]],
  "species": ["Mg", "Mg", "La", "La", "La", "La", "Sm"],
  "frac_coords": [[0.710, 0.710, 0.871], [0.290, 0.290, 0.129], [0.425, 0.425, 0.725], [0.844, 0.844, 0.469], [0.156, 0.156, 0.531], [0.575, 0.575, 0.275], [0.000, 0.000, 0.000]],
  "crystal_system": "trigonal",
  "formation_energy_ev_per_atom": -0.01,
  "energy_ev_per_atom": -3.95,
  "m_tot_mub_per_fu": 0.0
}

---

(4)
{
  "formula": "La9SmMg2",
  "functional": "PBE",
  "state": "relaxed",
  "lattice_angstrom": [[-2.022, -4.733, -0.462], [4.105, -1.484, -2.766], [7.185, -4.336, 12.990]],
  "species": ["La", "La", "La", "La", "La", "La", "La", "La", "La", "Mg", "Mg", "Sm"],
  "frac_coords": [[0.500, 0.500, 0.665], [0.000, 0.500, 0.500], [0.000, 0.500, 0.831], [0.500, 0.500, 0.335], [0.500, 0.000, 0.500], [0.500, 0.000, 0.169], [0.500, 0.500, 0.000], [0.000, 0.500, 0.169], [0.500, 0.000, 0.831], [0.000, 0.000, 0.336], [0.000, 0.000, 0.664], [0.000, 0.000, 0.000]],
  "crystal_system": "tetragonal",
  "formation_energy_ev_per_atom": -0.01,
  "energy_ev_per_atom": -4.37,
  "m_tot_mub_per_fu": 0.0
}

---

(5)
{
  "formula": "LaSm3Mg6",
  "functional": "PBE",
  "state": "relaxed",
  "lattice_angstrom": [[5.374, 0.000, 0.000], [0.000, 9.027, -2.765], [0.000, 0.209, 11.469]],
  "species": ["La", "La", "Sm", "Sm", "Sm", "Sm", "Sm", "Sm", "Mg", "Mg", "Mg", "Mg", "Mg", "Mg", "Mg", "Mg", "Mg", "Mg", "Mg", "Mg"],
  "frac_coords": [[0.250, 0.947, 0.607], [0.750, 0.053, 0.393], [0.750, 0.460, 0.606], [0.250, 0.540, 0.394], [0.750, 0.648, 0.204], [0.250, 0.352, 0.796], [0.250, 0.755, 0.002], [0.750, 0.245, 0.998], [0.250, 0.852, 0.296], [0.250, 0.250, 0.492], [0.750, 0.950, 0.095], [0.250, 0.657, 0.706], [0.750, 0.148, 0.704], [0.250, 0.442, 0.098], [0.250, 0.050, 0.905], [0.250, 0.148, 0.195], [0.750, 0.343, 0.294], [0.750, 0.750, 0.508], [0.750, 0.852, 0.805], [0.750, 0.558, 0.902]],
  "crystal_system": "monoclinic",
  "formation_energy_ev_per_atom": -0.08,
  "energy_ev_per_atom": -2.95,
  "m_tot_mub_per_fu": 0.0
}

---

(6)
{
  "formula": "La6Sm2Mg",
  "functional": "PBE",
  "state": "relaxed",
  "lattice_angstrom": [[-4.704, 2.096, 0.208], [-0.017, -6.368, -0.074], [1.836, 3.089, 10.390]],
  "species": ["La", "La", "La", "La", "La", "La", "Sm", "Sm", "Mg"],
  "frac_coords": [[0.998, 0.997, 0.829], [0.333, 0.666, 0.276], [0.326, 0.652, 0.606], [0.674, 0.348, 0.394], [0.667, 0.334, 0.724], [0.002, 0.003, 0.171], [0.667, 0.334, 0.055], [0.333, 0.666, 0.945], [0.000, 0.000, 0.500]],
  "crystal_system": "monoclinic",
  "formation_energy_ev_per_atom": 0.00,
  "energy_ev_per_atom": -4.51,
  "m_tot_mub_per_fu": 0.0
}

---

(7)
{
  "formula": "La14SmMg",
  "functional": "PBE",
  "state": "relaxed",
  "lattice_angstrom": [[-0.944, 5.684, 4.577], [-5.704, 2.306, -4.036], [-6.500, -5.806, 5.870]],
  "species": ["La", "La", "La", "La", "La", "La", "La", "La", "La", "La", "La", "La", "La", "La", "Mg", "Sm"],
  "frac_coords": [[0.876, 0.625, 0.000], [0.127, 0.378, 0.247], [0.622, 0.873, 0.247], [0.875, 0.125, 0.500], [0.128, 0.872, 0.247], [0.375, 0.625, 0.500], [0.622, 0.873, 0.753], [0.127, 0.378, 0.753], [0.622, 0.378, 0.246], [0.376, 0.125, 0.500], [0.875, 0.624, 0.500], [0.128, 0.872, 0.753], [0.622, 0.378, 0.754], [0.375, 0.124, 0.000], [0.375, 0.625, 0.000], [0.875, 0.125, 0.000]],
  "crystal_system": "orthorhombic",
  "formation_energy_ev_per_atom": -0.01,
  "energy_ev_per_atom": -4.71,
  "m_tot_mub_per_fu": 0.0
}

---

(8)
{
  "formula": "LaSm4Mg",
  "functional": "PBE",
  "state": "relaxed",
  "lattice_angstrom": [[-2.051, -2.625, -1.565], [2.808, -0.875, -2.212], [4.753, -9.568, 9.816]],
  "species": ["Sm", "Sm", "Sm", "Sm", "Mg", "La"],
  "frac_coords": [[0.500, 0.500, 0.819], [0.000, 0.000, 0.353], [0.000, 0.000, 0.647], [0.500, 0.500, 0.181], [0.500, 0.500, 0.500], [0.000, 0.000, 0.000]],
  "crystal_system": "tetragonal",
  "formation_energy_ev_per_atom": -0.02,
  "energy_ev_per_atom": -4.25,
  "m_tot_mub_per_fu": 0.0,
  "e_above_lowest_polymorph_ev_per_atom": 0.000
}